La3BeCr: PBEsol geometry, meta-GGA SCAN.

Summary:
DFT total energy ... -29.8392 eV per atom
Theoretical density ... 5.9 Mg/m³
Energy of formation from the pure elements ... 0.571 eV/atom
DOS(E_F) ... 5.1 states/eV/f.u.

Cell and atoms, written as POSCAR:
```
La3BeCr
1.0
5.124 0.000 0.000
0.000 5.124 0.000
0.000 0.000 5.124
Cr Be La
1 1 3
Cartesian
0.000 0.000 0.000
2.562 2.562 2.562
0.000 2.562 0.000
0.000 0.000 2.562
2.562 0.000 0.000
```

CuNiRh2: PBEsol geometry, meta-GGA SCAN.

Summary:
DFT total energy ... -24.6750 eV per atom
Theoretical density ... 11.1 Mg/m³
Energy of formation from the pure elements ... 0.054 eV/atom
DOS(E_F) ... 4.4 states/eV/f.u.

Cell and atoms, written as POSCAR:
```
CuNiRh2
1.0
3.637 0.000 0.000
0.000 3.637 0.000
-1.818 -1.818 3.702
Ni Rh Cu
1 2 1
Cartesian
0.000 1.818 1.851
0.000 0.000 0.000
1.818 0.000 1.851
1.818 1.818 0.000
```

ZrBeZn2: PBEsol geometry, meta-GGA SCAN.

Summary:
DFT total energy ... -15.6440 eV per atom
Theoretical density ... 6.7 Mg/m³
Energy of formation from the pure elements ... -0.123 eV/atom
DOS(E_F) ... 2.0 states/eV/f.u.

Cell and atoms, written as POSCAR:
```
ZrBeZn2
1.0
-0.583 2.726 0.767
-2.791 -0.420 -0.627
-1.139 -2.057 6.445
Be Zn Zr
1 2 1
Cartesian
-2.586 -0.469 5.154
-1.105 -1.995 6.252
-1.935 0.705 1.475
-0.596 -1.076 3.372
```

Be2TlCoBr: PBEsol geometry, meta-GGA SCAN.

Summary:
DFT total energy ... -22.2874 eV per atom
Theoretical density ... 7.0 Mg/m³
Formation energy (no corrections) ... 1.278 eV/atom
DOS(E_F) ... 2.1 states/eV/f.u.

Cell and atoms, written as POSCAR:
```
Be2TlCoBr
1.0
4.401 0.000 0.000
0.000 4.399 0.000
0.000 0.000 4.399
Be Tl Co Br
2 1 1 1
Cartesian
0.000 0.000 2.199
0.000 2.199 0.000
2.201 2.199 2.199
2.201 0.000 0.000
0.000 0.000 0.000
```

TlAg: PBEsol geometry, meta-GGA SCAN.

Summary:
DFT total energy ... -51.7092 eV per atom
Theoretical density ... 12.0 Mg/m³
Energy of formation from the pure elements ... 0.154 eV/atom
DOS(E_F) ... 0.8 states/eV/f.u.

Cell and atoms, written as POSCAR:
```
TlAg
1.0
-0.448 1.760 -2.608
-3.765 -2.975 -1.361
-1.397 3.785 4.730
Tl Ag
2 2
Cartesian
-2.041 4.125 1.198
-3.569 -1.555 -0.437
-3.431 1.515 1.611
-2.179 1.056 -0.850
```

ScSnSb2: PBEsol geometry, meta-GGA SCAN.

Summary:
DFT total energy ... -31.3242 eV per atom
Theoretical density ... 4.7 Mg/m³
Formation energy (no corrections) ... -0.154 eV/atom
DOS(E_F) ... 3.7 states/eV/f.u.

Cell and atoms, written as POSCAR:
```
ScSnSb2
1.0
6.559 0.000 0.000
0.000 6.559 0.000
-3.280 -3.280 6.665
Sc Sb Sn
2 4 2
Cartesian
3.280 0.000 3.333
3.280 3.280 0.000
1.699 4.919 1.666
4.861 1.640 1.666
-1.640 -1.581 4.999
1.640 1.581 4.999
0.000 3.280 3.333
0.000 0.000 0.000
```

Te2IrCl: PBEsol geometry, meta-GGA SCAN.

Summary:
Relative energy among the computed polymorphs ... 0.000 eV per atom
DFT total energy ... -38.3820 eV per atom
Theoretical density ... 9.5 Mg/m³
Formation energy (no corrections) ... 0.013 eV/atom
DOS(E_F) ... 0.8 states/eV/f.u.

Cell and atoms, written as POSCAR:
```
Te2IrCl
1.0
-1.968 0.424 2.419
-2.652 0.192 -2.191
-1.000 -7.701 0.535
Ir Te Cl
1 2 1
Cartesian
-2.810 -3.543 0.382
-0.707 -5.450 0.379
-0.292 -2.251 0.156
-2.310 0.308 0.114
```

YAl2Fe: PBEsol geometry, meta-GGA SCAN.

Summary:
DFT total energy ... -15.4566 eV per atom
Theoretical density ... 5.1 Mg/m³
Energy of formation from the pure elements ... -0.088 eV/atom
DOS(E_F) ... 2.1 states/eV/f.u.

Cell and atoms, written as POSCAR:
```
YAl2Fe
1.0
4.508 0.000 0.000
2.254 3.904 0.000
2.254 1.301 3.681
Y Fe Al
1 1 2
Cartesian
4.508 2.603 1.840
0.000 0.000 0.000
2.254 1.301 0.920
6.762 3.904 2.760
```

Zr2ScSe: PBEsol geometry, meta-GGA SCAN.

Summary:
DFT total energy ... -24.2446 eV per atom
Theoretical density ... 6.3 Mg/m³
Formation energy (no corrections) ... -0.316 eV/atom
DOS(E_F) ... 3.3 states/eV/f.u.

Cell and atoms, written as POSCAR:
```
Zr2ScSe
1.0
-1.574 -1.377 2.567
4.183 -2.191 1.389
1.121 3.903 2.781
Sc Se Zr
1 1 2
Cartesian
1.865 0.167 3.368
-0.787 -0.689 1.284
0.561 1.951 1.391
2.091 -1.096 0.694
```

LiHfP2Ru: PBEsol geometry, meta-GGA SCAN.

Summary:
DFT total energy ... -23.5264 eV per atom
Theoretical density ... 5.0 Mg/m³
Energy of formation from the pure elements ... 0.611 eV/atom
DOS(E_F) ... 3.4 states/eV/f.u.

Cell and atoms, written as POSCAR:
```
LiHfP2Ru
1.0
4.742 0.000 0.000
0.000 4.932 0.000
0.000 0.000 4.932
Ru Li Hf P
1 1 1 2
Cartesian
2.371 0.000 0.000
2.371 2.466 2.466
0.000 0.000 0.000
0.000 0.000 2.466
0.000 2.466 0.000
```

Li2Hf2Mg: PBEsol geometry, meta-GGA SCAN.

Summary:
DFT total energy ... -26.5396 eV per atom
Theoretical density ... 7.0 Mg/m³
Energy of formation from the pure elements ... 0.480 eV/atom
DOS(E_F) ... 4.2 states/eV/f.u.

Cell and atoms, written as POSCAR:
```
Li2Hf2Mg
1.0
3.030 0.000 0.000
0.000 7.842 0.000
0.000 0.000 7.842
Mg Hf Li
2 4 4
Cartesian
0.000 0.000 0.000
0.000 3.921 3.921
1.515 1.174 5.095
1.515 5.095 6.668
1.515 6.668 2.747
1.515 2.747 1.174
0.000 2.774 6.695
0.000 6.695 5.068
0.000 5.068 1.147
0.000 1.147 2.774
```

HPtCl2: PBEsol geometry, meta-GGA SCAN.

Summary:
Relative energy among the computed polymorphs ... 0.587 eV per atom
DFT total energy ... -21.5227 eV per atom
Theoretical density ... 7.6 Mg/m³
DOS(E_F) ... 0.9 states/eV/f.u.

Cell and atoms, written as POSCAR:
```
HPtCl2
1.0
-1.559 1.600 -3.726
-4.224 0.949 -0.358
-1.284 4.145 -0.216
H Pt Cl
1 1 2
Cartesian
0.000 0.000 0.000
-3.534 3.347 -2.150
-1.767 1.673 -1.075
-5.300 5.020 -3.225
```

TcNiAs2Se: PBEsol geometry, meta-GGA SCAN.

Summary:
DFT total energy ... -21.5313 eV per atom
Theoretical density ... 7.1 Mg/m³
Formation energy (no corrections) ... 0.807 eV/atom
DOS(E_F) ... 2.9 states/eV/f.u.

Cell and atoms, written as POSCAR:
```
TcNiAs2Se
1.0
-2.013 2.683 2.873
2.204 -1.903 3.321
3.417 3.094 -0.495
Ni As Tc Se
1 2 1 1
Cartesian
0.000 0.000 0.000
1.102 -0.952 1.661
-1.006 1.342 1.437
1.804 1.937 2.850
1.709 1.547 -0.248
```

PmTmZn2: PBEsol geometry, meta-GGA SCAN.

Summary:
DFT total energy ... -31.1084 eV per atom
Theoretical density ... 8.4 Mg/m³
Energy of formation from the pure elements ... -0.396 eV/atom
DOS(E_F) ... 4.3 states/eV/f.u.

Cell and atoms, written as POSCAR:
```
PmTmZn2
1.0
-1.494 1.592 -4.480
-4.078 -1.945 -2.104
-4.139 2.744 -0.416
Zn Tm Pm
2 1 1
Cartesian
-2.428 0.598 -1.750
-7.283 1.793 -5.250
0.000 0.000 0.000
-4.855 1.196 -3.500
```

AlInN2O: PBEsol geometry, meta-GGA SCAN.

Summary:
DFT total energy ... -12.0568 eV per atom
Theoretical density ... 4.5 Mg/m³
Formation energy (no corrections) ... 1.134 eV/atom
DOS(E_F) ... 3.9 states/eV/f.u.

Cell and atoms, written as POSCAR:
```
AlInN2O
1.0
-2.276 1.616 -2.907
-3.136 -2.421 1.110
-1.301 2.889 2.625
N Al O In
2 1 1 1
Cartesian
-0.651 1.445 1.313
-1.568 -1.211 0.555
-3.357 1.042 0.414
-1.138 0.808 -1.453
0.000 0.000 0.000
```

MgMnCd2: PBEsol geometry, meta-GGA SCAN.

Summary:
DFT total energy ... -21.1143 eV per atom
Theoretical density ... 6.9 Mg/m³
Energy of formation from the pure elements ... -0.100 eV/atom
DOS(E_F) ... 1.7 states/eV/f.u.

Cell and atoms, written as POSCAR:
```
MgMnCd2
1.0
3.611 0.000 0.000
0.000 4.487 0.000
0.000 0.000 4.487
Cd Mg Mn
2 1 1
Cartesian
0.000 0.000 2.244
0.000 2.244 0.000
1.806 2.244 2.244
1.806 0.000 0.000
```

LiTiTl2B: PBEsol geometry, meta-GGA SCAN.

Summary:
DFT total energy ... -33.3839 eV per atom
Theoretical density ... 8.4 Mg/m³
Energy of formation from the pure elements ... 0.729 eV/atom
DOS(E_F) ... 2.7 states/eV/f.u.

Cell and atoms, written as POSCAR:
```
LiTiTl2B
1.0
4.115 0.000 0.000
0.000 4.784 0.000
0.000 0.000 4.784
Tl B Li Ti
2 1 1 1
Cartesian
0.000 0.000 2.392
0.000 2.392 0.000
0.000 0.000 0.000
2.057 0.000 0.000
2.057 2.392 2.392
```

CsRbSe2N: PBEsol geometry, meta-GGA SCAN.

Summary:
DFT total energy ... -20.6072 eV per atom
Theoretical density ... 2.6 Mg/m³
Formation energy (no corrections) ... 0.992 eV/atom
DOS(E_F) ... 2.1 states/eV/f.u.

Cell and atoms, written as POSCAR:
```
CsRbSe2N
1.0
-0.604 -5.966 -0.224
3.230 -0.516 5.031
-5.779 0.445 3.755
Cs Se Rb N
1 2 1 1
Cartesian
0.000 0.000 0.000
1.615 -0.258 2.516
-0.302 -2.983 -0.112
-2.889 0.222 1.878
-1.577 -3.019 4.282
```

AcGaO3: PBEsol geometry, meta-GGA SCAN.

Summary:
DFT total energy ... -28.0681 eV per atom
Theoretical density ... 9.4 Mg/m³
Formation energy (no corrections) ... -2.965 eV/atom
DOS(E_F) ... 0.0 states/eV/f.u.

Cell and atoms, written as POSCAR:
```
AcGaO3
1.0
-3.834 0.463 0.720
0.638 -0.654 3.821
0.570 3.846 0.563
Ac Ga O
1 1 3
Cartesian
0.000 0.000 0.000
-1.313 1.828 2.551
-1.598 -0.095 2.270
-1.632 2.154 0.641
0.604 1.596 2.192
```

CsIn2AsS: PBEsol geometry, meta-GGA SCAN.

Summary:
DFT total energy ... -25.7459 eV per atom
Theoretical density ... 3.6 Mg/m³
Formation energy (no corrections) ... 1.135 eV/atom
DOS(E_F) ... 3.0 states/eV/f.u.

Cell and atoms, written as POSCAR:
```
CsIn2AsS
1.0
-0.813 -5.118 1.130
2.678 -1.652 -5.556
5.713 -0.280 2.838
Cs As S In
1 1 1 2
Cartesian
0.000 0.000 0.000
3.789 -3.525 -0.794
-0.406 -2.559 0.565
2.857 -0.140 1.419
1.339 -0.826 -2.778
```

YBeSb2: PBEsol geometry, meta-GGA SCAN.

Summary:
DFT total energy ... -26.8779 eV per atom
Theoretical density ... 6.4 Mg/m³
Formation energy (no corrections) ... -0.198 eV/atom
DOS(E_F) ... 2.0 states/eV/f.u.

Cell and atoms, written as POSCAR:
```
YBeSb2
1.0
-1.254 0.868 3.833
-3.571 -2.066 -0.700
4.578 -3.717 0.120
Y Sb Be
1 2 1
Cartesian
-2.411 -0.601 1.567
-0.260 -4.888 3.242
0.447 -1.707 2.753
-0.683 -3.230 0.508
```

KCuIr3: PBEsol geometry, meta-GGA SCAN.

Summary:
DFT total energy ... -43.7433 eV per atom
Theoretical density ... 11.9 Mg/m³
Energy of formation from the pure elements ... 3.622 eV/atom
DOS(E_F) ... 6.4 states/eV/f.u.

Cell and atoms, written as POSCAR:
```
KCuIr3
1.0
-1.182 0.146 -4.402
-3.646 -2.590 0.893
-2.471 3.751 0.788
K Ir Cu
1 3 1
Cartesian
0.000 0.000 0.000
-1.823 -1.295 0.446
-1.236 1.875 0.394
-0.591 0.073 -2.201
-3.649 0.653 -1.361
```

Sr2RuSe: PBEsol geometry, meta-GGA SCAN.

Summary:
DFT total energy ... -25.3695 eV per atom
Theoretical density ... 4.8 Mg/m³
Formation energy (no corrections) ... -0.506 eV/atom
DOS(E_F) ... 3.7 states/eV/f.u.

Cell and atoms, written as POSCAR:
```
Sr2RuSe
1.0
4.256 0.000 0.000
2.128 3.686 0.000
2.128 1.229 7.853
Ru Se Sr
1 1 2
Cartesian
4.256 2.457 2.930
2.128 1.229 2.962
6.384 3.686 0.955
6.384 3.686 4.934
```

AsRhBr4: PBEsol geometry, meta-GGA SCAN.

Summary:
DFT total energy ... -20.5740 eV per atom
Theoretical density ... 5.9 Mg/m³
Formation energy (no corrections) ... 1.393 eV/atom
DOS(E_F) ... 6.8 states/eV/f.u.

Cell and atoms, written as POSCAR:
```
AsRhBr4
1.0
-1.528 -2.831 -4.872
1.437 -5.617 -0.685
-4.136 -4.116 0.191
As Rh Br
1 1 4
Cartesian
0.000 0.000 0.000
-3.170 -9.423 -4.024
-1.588 -4.719 -2.016
-3.645 -6.767 -1.921
-2.348 -6.128 -4.439
-0.872 -7.514 -2.356
```

Ba2NdInSe5: PBEsol geometry, meta-GGA SCAN.

Summary:
DFT total energy ... -30.3482 eV per atom
Theoretical density ... 5.8 Mg/m³
Formation energy (no corrections) ... -1.853 eV/atom

Cell and atoms, written as POSCAR:
```
Ba2NdInSe5
1.0
4.308 0.000 0.000
-2.154 9.416 0.000
0.000 0.000 13.210
Ba Nd In Se
4 2 2 10
Cartesian
2.154 6.963 10.752
0.000 2.453 4.147
2.154 7.228 2.408
0.000 2.189 9.013
2.154 5.435 6.810
0.000 3.982 0.205
2.154 0.948 12.401
0.000 8.468 5.796
2.154 2.614 6.609
0.000 6.802 0.004
2.154 3.933 2.140
0.000 5.483 8.745
2.154 3.481 11.396
0.000 5.935 4.791
0.000 9.318 10.090
2.154 0.099 3.485
2.154 8.520 7.310
0.000 0.896 0.705
```

NaLi2Br2: PBEsol geometry, meta-GGA SCAN.

Summary:
DFT total energy ... -10.7727 eV per atom
Theoretical density ... 1.8 Mg/m³
Formation energy (no corrections) ... -1.190 eV/atom
DOS(E_F) ... 0.8 states/eV/f.u.

Cell and atoms, written as POSCAR:
```
NaLi2Br2
1.0
-0.702 -0.346 4.155
-4.106 -0.676 -0.750
4.107 -9.248 -2.228
Na Br Li
1 2 2
Cartesian
0.000 0.000 0.000
1.079 -6.183 -0.333
-1.780 -4.088 1.510
-1.201 -5.218 -0.637
0.501 -5.053 1.815
```

LiAgOs3: PBEsol geometry, meta-GGA SCAN.

Summary:
DFT total energy ... -46.7806 eV per atom
Theoretical density ... 10.5 Mg/m³
Energy of formation from the pure elements ... 3.099 eV/atom
DOS(E_F) ... 6.8 states/eV/f.u.

Cell and atoms, written as POSCAR:
```
LiAgOs3
1.0
-2.811 3.826 0.353
-1.907 -1.009 -4.244
-3.336 -2.647 2.129
Os Ag Li
3 1 1
Cartesian
-0.954 -0.505 -2.122
-1.668 -1.324 1.064
-1.406 1.913 0.177
0.000 0.000 0.000
-4.027 0.085 -0.881
```

LiHSe3: PBEsol geometry, meta-GGA SCAN.

Summary:
DFT total energy ... -12.8783 eV per atom
Theoretical density ... 5.0 Mg/m³
DOS(E_F) ... 2.3 states/eV/f.u.

Cell and atoms, written as POSCAR:
```
LiHSe3
1.0
4.333 0.000 0.000
0.000 4.333 0.000
0.000 0.000 4.333
H Se Li
1 3 1
Cartesian
0.000 0.000 0.000
0.000 2.167 0.000
0.000 0.000 2.167
2.167 0.000 0.000
2.167 2.167 2.167
```